Record 1
# LiHoAu (PBE, relaxed)
data_LiHoAu
_chemical_formula_sum 'Li3 Ho3 Au3'
_cell_length_a 7.3573
_cell_length_b 7.3573
_cell_length_c 4.0847
_cell_angle_alpha 90.00
_cell_angle_beta 90.00
_cell_angle_gamma 120.00
_space_group_name_H-M_alt 'P -6 2 m'
_space_group_IT_number 189
_space_group_name_Hall 'P -6 -2'
loop_
_atom_site_label
_atom_site_type_symbol
_atom_site_fract_x
_atom_site_fract_y
_atom_site_fract_z
Li1 Li 0.0000 0.2383 0.0000
Ho1 Ho 0.0000 0.5893 0.5000
Au1 Au 0.0000 0.0000 0.5000
Au2 Au 0.3333 0.6667 0.0000
# - polymorph energy (0 for the lowest one) (meV/atom) = 0.0
# - magnetization (μB per formula unit) = 0.00
# - calculated formation energy (meV/atom) = -624


Record 2
# LiHoAu4 (PBE, relaxed)
data_LiHoAu4
_chemical_formula_sum 'Li2 Ho2 Au8'
_cell_length_a 5.521
_cell_length_b 6.513
_cell_length_c 7.176
_cell_angle_alpha 90.00
_cell_angle_beta 90.00
_cell_angle_gamma 90.00
_space_group_name_H-M_alt 'C m m m'
_space_group_IT_number 65
_space_group_name_Hall '-C 2 2'
loop_
_atom_site_label
_atom_site_type_symbol
_atom_site_fract_x
_atom_site_fract_y
_atom_site_fract_z
Li1 Li 0.000 0.000 0.000
Ho1 Ho 0.000 0.500 0.500
Au1 Au 0.250 0.250 0.217
# - polymorph energy (0 for the lowest one) (meV/atom) = 120.2
# - magnetization (μB per formula unit) = 0.00
# - calculated formation energy (meV/atom) = -472


Record 3
# Li2Ho3Au6 (PBE, relaxed)
data_Li2Ho3Au6
_chemical_formula_sum 'Li4 Ho6 Au12'
_cell_length_a 4.475
_cell_length_b 4.475
_cell_length_c 22.826
_cell_angle_alpha 90.00
_cell_angle_beta 90.00
_cell_angle_gamma 90.00
_space_group_name_H-M_alt 'I 4/m m m'
_space_group_IT_number 139
_space_group_name_Hall '-I 4 2'
loop_
_atom_site_label
_atom_site_type_symbol
_atom_site_fract_x
_atom_site_fract_y
_atom_site_fract_z
Li1 Li 0.000 0.000 0.052
Ho1 Ho 0.000 0.000 0.308
Ho2 Ho 0.000 0.000 0.500
Au1 Au 0.000 0.000 0.183
Au2 Au 0.000 0.500 0.096
# - magnetization (μB per formula unit) = 0.00
# - calculated formation energy (meV/atom) = -609


Record 4
# LiHoAu (PBE, relaxed)
data_LiHoAu
_chemical_formula_sum 'Li4 Ho4 Au4'
_cell_length_a 3.464
_cell_length_b 4.881
_cell_length_c 16.309
_cell_angle_alpha 90.00
_cell_angle_beta 90.00
_cell_angle_gamma 90.00
_space_group_name_H-M_alt 'I m m m'
_space_group_IT_number 71
_space_group_name_Hall '-I 2 2'
loop_
_atom_site_label
_atom_site_type_symbol
_atom_site_fract_x
_atom_site_fract_y
_atom_site_fract_z
Li1 Li 0.000 0.249 0.000
Ho1 Ho 0.000 0.000 0.327
Au1 Au 0.000 0.000 0.146
# - polymorph energy (0 for the lowest one) (meV/atom) = 190.3
# - magnetization (μB per formula unit) = 0.00
# - calculated formation energy (meV/atom) = -434


Record 5
# Li2HoAu8 (PBE, relaxed)
data_Li2HoAu8
_chemical_formula_sum 'Li4 Ho2 Au16'
_cell_length_a 13.663
_cell_length_b 7.782
_cell_length_c 4.107
_cell_angle_alpha 90.00
_cell_angle_beta 107.36
_cell_angle_gamma 90.00
_space_group_name_H-M_alt 'C 1 2 1'
_space_group_IT_number 5
loop_
_space_group_symop_operation_xyz
'x,y,z'
'-x,y,-z'
'x+1/2,y+1/2,z'
'-x+1/2,y+1/2,-z'
loop_
_atom_site_label
_atom_site_type_symbol
_atom_site_fract_x
_atom_site_fract_y
_atom_site_fract_z
Li1 Li 0.155 0.000 0.156
Ho1 Ho 0.000 0.561 0.500
Au1 Au 0.000 0.271 0.000
Au2 Au 0.000 0.970 0.500
Au3 Au 0.155 0.249 0.655
Au4 Au 0.165 0.528 0.164
Au5 Au 0.184 0.775 0.684
# - polymorph energy (0 for the lowest one) (meV/atom) = 31.0
# - magnetization (μB per formula unit) = 0.00
# - calculated formation energy (meV/atom) = -446


Record 6
# Li4HoAu2 (PBE, relaxed)
data_Li4HoAu2
_chemical_formula_sum 'Li8 Ho2 Au4'
_cell_length_a 7.652
_cell_length_b 7.652
_cell_length_c 4.352
_cell_angle_alpha 90.00
_cell_angle_beta 90.00
_cell_angle_gamma 90.00
_space_group_name_H-M_alt 'P 42/m n m'
_space_group_IT_number 136
_space_group_name_Hall '-P 4n 2n'
loop_
_atom_site_label
_atom_site_type_symbol
_atom_site_fract_x
_atom_site_fract_y
_atom_site_fract_z
Li1 Li 0.099 0.351 0.000
Ho1 Ho 0.000 0.000 0.500
Au1 Au 0.211 0.789 0.000
# - magnetization (μB per formula unit) = 0.00
# - calculated formation energy (meV/atom) = -465


Record 7
# LiHoLuAu (PBE, relaxed)
data_LiHoLuAu
_chemical_formula_sum 'Li4 Ho4 Lu4 Au4'
_cell_length_a 7.116
_cell_length_b 7.116
_cell_length_c 7.116
_cell_angle_alpha 90.00
_cell_angle_beta 90.00
_cell_angle_gamma 90.00
_space_group_name_H-M_alt 'F -4 3 m'
_space_group_IT_number 216
_space_group_name_Hall 'F -4 2 3'
loop_
_atom_site_label
_atom_site_type_symbol
_atom_site_fract_x
_atom_site_fract_y
_atom_site_fract_z
Li1 Li 0.000 0.000 0.000
Ho1 Ho 0.250 0.250 0.250
Lu1 Lu 0.250 0.250 0.750
Au1 Au 0.000 0.000 0.500
# - magnetization (μB per formula unit) = 0.00
# - calculated formation energy (meV/atom) = -427


Record 8
# Li2HoMgAu4 (PBE, relaxed)
data_Li2HoMgAu4
_chemical_formula_sum 'Li6 Ho3 Mg3 Au12'
_cell_length_a 4.6675
_cell_length_b 4.6675
_cell_length_c 23.5828
_cell_angle_alpha 90.00
_cell_angle_beta 90.00
_cell_angle_gamma 120.00
_space_group_name_H-M_alt 'R -3 m'
_space_group_IT_number 166
_space_group_name_Hall '-R 3 2"'
loop_
_atom_site_label
_atom_site_type_symbol
_atom_site_fract_x
_atom_site_fract_y
_atom_site_fract_z
Li1 Li 0.0000 0.0000 0.2456
Ho1 Ho 0.0000 0.0000 0.0000
Mg1 Mg 0.0000 0.0000 0.5000
Au1 Au 0.0000 0.0000 0.1268
Au2 Au 0.0000 0.0000 0.3844
# - magnetization (μB per formula unit) = 0.00
# - calculated formation energy (meV/atom) = -647


Record 9
# LiHoMgAu (PBE, relaxed)
data_LiHoMgAu
_chemical_formula_sum 'Li4 Ho4 Mg4 Au4'
_cell_length_a 6.884
_cell_length_b 6.884
_cell_length_c 6.884
_cell_angle_alpha 90.00
_cell_angle_beta 90.00
_cell_angle_gamma 90.00
_space_group_name_H-M_alt 'F -4 3 m'
_space_group_IT_number 216
_space_group_name_Hall 'F -4 2 3'
loop_
_atom_site_label
_atom_site_type_symbol
_atom_site_fract_x
_atom_site_fract_y
_atom_site_fract_z
Li1 Li 0.000 0.000 0.000
Ho1 Ho 0.250 0.250 0.750
Mg1 Mg 0.250 0.250 0.250
Au1 Au 0.000 0.000 0.500
# - magnetization (μB per formula unit) = 0.00
# - calculated formation energy (meV/atom) = -469


Record 10
# NaLiHoAu (PBE, relaxed)
data_NaLiHoAu
_chemical_formula_sum 'Na4 Li4 Ho4 Au4'
_cell_length_a 7.069
_cell_length_b 7.069
_cell_length_c 7.069
_cell_angle_alpha 90.00
_cell_angle_beta 90.00
_cell_angle_gamma 90.00
_space_group_name_H-M_alt 'F -4 3 m'
_space_group_IT_number 216
_space_group_name_Hall 'F -4 2 3'
loop_
_atom_site_label
_atom_site_type_symbol
_atom_site_fract_x
_atom_site_fract_y
_atom_site_fract_z
Na1 Na 0.000 0.000 0.000
Li1 Li 0.250 0.250 0.250
Ho1 Ho 0.000 0.000 0.500
Au1 Au 0.250 0.250 0.750
# - magnetization (μB per formula unit) = 0.00
# - calculated formation energy (meV/atom) = -225